Entry 1:
First-principles (GGA-PBE) data for a geometry-optimized LaHoCuRu structure, as listed in Alexandria.

Cell: 7.021 7.021 7.021 Å, 90.00 90.00 90.00°
Space group F-43m (No. 216)
One atom of each set of equivalent atoms:
1 La 0.000 0.000 0.000
2 Ho 0.000 0.000 0.500
3 Cu 0.250 0.250 0.250
4 Ru 0.250 0.250 0.750

Results
The total magnetization is 0.00 μB per cell. The calculation puts the raw total energy at -95.33 eV per cell. The calculation puts the energy relative to the elements at -23 kJ/mol of atoms.

Entry 2:
First-principles (GGA-PBE) data for a geometry-optimized La2HoCuSe5 structure, as listed in Alexandria.

Cell: 4.131 17.751 12.267 Å, 90.00 90.00 90.00°
Space group Cmc2_1 (No. 36)
One atom of each set of equivalent atoms:
1 La 0.000 0.111 0.000
2 La 0.000 0.122 0.626
3 Ho 0.000 0.192 0.324
4 Cu 0.000 0.437 0.763
5 Se 0.000 0.041 0.367
6 Se 0.000 0.291 0.985
7 Se 0.000 0.310 0.663
8 Se 0.000 0.355 0.316
9 Se 0.000 0.499 0.089

Results
The calculation puts the uncorrected formation energy at -1691 meV per atom. The total magnetization is 0.00 μB per cell. The calculation puts the raw total energy at -204.70 eV per cell.

Entry 3:
First-principles (GGA-PBE) data for a geometry-optimized LaHoCuSe4 structure, as listed in Alexandria.

Cell: 7.069 5.919 8.322 Å, 90.00 107.08 90.00°
Space group P2_1/m (No. 11)
One atom of each set of equivalent atoms:
1 La 0.243 0.250 0.434
2 Ho 0.226 0.250 0.932
3 Cu 0.244 0.750 0.187
4 Se 0.069 0.750 0.894
5 Se 0.070 0.750 0.390
6 Se 0.482 0.510 0.761

Results
The calculation puts the uncorrected formation energy at -1411 meV per atom. The total magnetization is 0.00 μB per cell. The calculation puts the raw total energy at -74.83 eV per cell.